Computed, not measured: crystalline LaHo8Sc2 at its relaxed geometry at the PBE level of DFT.

POSCAR file:
```
LaHo8Sc2
1.0
5.500 1.968 0.000
3.076 8.565 0.000
1.538 4.283 8.441
Sc Ho La
2 8 1
Direct
0.000 0.313 0.373 Sc
0.000 0.687 0.627 Sc
0.229 0.903 0.730 Ho
0.249 0.493 0.000 Ho
0.500 0.798 0.405 Ho
0.751 0.507 0.000 Ho
0.771 0.367 0.730 Ho
0.500 0.202 0.595 Ho
0.771 0.097 0.270 Ho
0.229 0.633 0.270 Ho
0.500 0.000 0.000 La
```

final energy: -52.31 eV for the cell shown
energy of formation: 0.173 eV/atom

Computed, not measured: crystalline HoZr3 at its relaxed geometry at the PBE level of DFT.

POSCAR file:
```
HoZr3
1.0
4.628 0.000 0.000
0.000 4.628 0.000
-2.314 -2.314 4.591
Zr Ho
3 1
Direct
0.750 0.250 0.500 Zr
0.500 0.500 0.000 Zr
0.250 0.750 0.500 Zr
0.000 0.000 0.000 Ho
```

final energy: -29.82 eV for the cell shown
energy of formation: 0.102 eV/atom
distance to the lowest polymorph of the same formula: 0.060 eV per atom

Computed, not measured: crystalline Pr2GaBRh6 at its relaxed geometry at the PBE level of DFT.

POSCAR file:
```
Pr2GaBRh6
1.0
-1.450 -2.206 -5.700
-2.124 -5.312 2.596
-5.844 -1.976 -1.215
Pr B Rh Ga
2 1 6 1
Direct
0.250 0.750 0.500 Pr
0.750 0.250 0.500 Pr
0.500 0.500 0.000 B
0.268 0.268 0.463 Rh
0.731 0.731 0.000 Rh
0.731 0.268 0.000 Rh
0.732 0.732 0.537 Rh
0.269 0.269 0.000 Rh
0.269 0.731 0.000 Rh
0.000 0.000 0.000 Ga
```

final energy: -68.78 eV for the cell shown
energy of formation: -0.541 eV/atom